! SmY2TlN (PBE-GGA, optimized geometry); values from VASP
! **Spin magnetization**: 0.000 μB/atom
! **ρ**: 7.82 Mg/m³
! **D(E_F)**: 2.5 states/eV per cell
! **V**: 23.2 Å³ per atom
! **E**: -6.59 eV per atom
&SYSTEM
  ibrav = 0, nat = 5, ntyp = 4
/
ATOMIC_SPECIES
Sm 150.36 Sm.upf
Y 88.91 Y.upf
Tl 204.38 Tl.upf
N 14.01 N.upf
CELL_PARAMETERS angstrom
4.8396 0.0000 0.0000
0.0000 4.8396 0.0000
0.0000 0.0000 4.9537
ATOMIC_POSITIONS crystal
Sm 0.0000 0.0000 0.0000
Y 0.0000 0.5000 0.5000
Y 0.5000 0.0000 0.5000
Tl 0.5000 0.5000 0.0000
N 0.0000 0.0000 0.5000